First-principles (PBE) data for a geometry-optimized TaSiSe2 structure, as listed in the Alexandria database.

The structure belongs to space group Imm2 (No. 44); the cell edges are 3.198, 4.888 and 9.190 Å and the angles 90.00°, 90.00° and 90.00°. The inequivalent atoms are Ta at (0.000, 0.000, 0.000), Si at (0.000, 0.500, 0.239), Se at (0.000, 0.000, 0.511) and Se at (0.000, 0.500, 0.723).

The size of the total moment is 0.0 μB per formula unit. As for the density of states at the Fermi level: 5.4 states/eV/cell. The calculated total energy comes out at -46.980 eV/cell.


First-principles (PBE) data for a geometry-optimized LaBe2Tl structure, as listed in the Alexandria database.

The structure belongs to space group P4/mmm (No. 123); the cell edges are 3.433, 3.433 and 6.908 Å and the angles 90.00°, 90.00° and 90.00°. The inequivalent atoms are La at (0.000, 0.000, 0.000), Be at (0.500, 0.500, 0.304) and Tl at (0.000, 0.000, 0.500).

The size of the total moment is 0.0 μB per formula unit. As for the density of states at the Fermi level: 2.8 states/eV/cell. As for the energy above the most stable polymorph in this dataset: 361 meV per atom. The calculated total energy comes out at -13.048 eV/cell. The formation energy is 1.70 eV/f.u.


First-principles (PBE) data for a geometry-optimized V3ZnGa structure, as listed in the Alexandria database.

The structure belongs to space group Cmcm (No. 63); the cell edges are 4.800, 13.211 and 4.769 Å and the angles 90.00°, 90.00° and 90.00°. The inequivalent atoms are V at (0.000, 0.000, 0.000), V at (0.238, 0.156, 0.250), Zn at (0.000, 0.448, 0.250) and Ga at (0.000, 0.172, 0.750).

The size of the total moment is 0.0 μB per formula unit. As for the density of states at the Fermi level: 17.1 states/eV/cell. As for the energy above the most stable polymorph in this dataset: 239 meV per atom. The calculated total energy comes out at -122.646 eV/cell. The formation energy is 1.00 eV/f.u.


First-principles (PBE) data for a geometry-optimized Sc2CrCuHg structure, as listed in the Alexandria database.

The structure belongs to space group P4/mmm (No. 123); the cell edges are 4.645, 4.645 and 5.075 Å and the angles 90.00°, 90.00° and 90.00°. The inequivalent atoms are Sc at (0.000, 0.500, 0.000), Cr at (0.000, 0.000, 0.000), Cu at (0.500, 0.500, 0.500) and Hg at (0.000, 0.000, 0.500).

The size of the total moment is 0.0 μB per formula unit. As for the density of states at the Fermi level: 4.3 states/eV/cell. The calculated total energy comes out at -23.459 eV/cell. The formation energy is 3.23 eV/f.u.


First-principles (PBE) data for a geometry-optimized YMoN3 structure, as listed in the Alexandria database.

The structure belongs to space group P2_1/c (No. 14); the cell edges are 7.270, 6.665 and 6.852 Å and the angles 90.00°, 117.19° and 90.00°. The inequivalent atoms are Y at (0.109, 0.250, 0.029), Mo at (0.308, 0.619, 0.383), N at (0.018, 0.547, 0.286), N at (0.279, 0.719, 0.124) and N at (0.373, 0.160, 0.906).

The size of the total moment is 0.0 μB per formula unit. As for the density of states at the Fermi level: 0.0 states/eV/cell. The calculated total energy comes out at -183.852 eV/cell.


First-principles (PBE) data for a geometry-optimized K2NdSbO6 structure, as listed in the Alexandria database.

The structure belongs to space group Fm-3m (No. 225); the cell edges are 8.694, 8.694 and 8.694 Å and the angles 90.00°, 90.00° and 90.00°. The inequivalent atoms are K at (0.250, 0.250, 0.250), Nd at (0.000, 0.000, 0.000), Sb at (0.000, 0.000, 0.500) and O at (0.000, 0.000, 0.270).

The size of the total moment is 2.0 μB per formula unit. As for the density of states at the Fermi level: 10.7 states/eV/cell. The calculated total energy comes out at -234.633 eV/cell.


> Number 3 is which compound?

V3ZnGa


Repeat the fourth record exactly.
First-principles (PBE) data for a geometry-optimized Sc2CrCuHg structure, as listed in the Alexandria database.

The structure belongs to space group P4/mmm (No. 123); the cell edges are 4.645, 4.645 and 5.075 Å and the angles 90.00°, 90.00° and 90.00°. The inequivalent atoms are Sc at (0.000, 0.500, 0.000), Cr at (0.000, 0.000, 0.000), Cu at (0.500, 0.500, 0.500) and Hg at (0.000, 0.000, 0.500).

The size of the total moment is 0.0 μB per formula unit. As for the density of states at the Fermi level: 4.3 states/eV/cell. The calculated total energy comes out at -23.459 eV/cell. The formation energy is 3.23 eV/f.u.